The following is a GGA-PBEsol calculation of a relaxed CuNi crystal, from Alexandria.

Lattice parameters (Å, degrees): 2.4692 2.4692 8.1687 90.00 90.00 120.00
Last column: nearest neighbours and their distance in Å.
Fractional positions:
Ni  0.6667  0.3333  0.6213  9 Ni 2.44-2.47, 3 Cu 2.50
Ni  0.3333  0.6667  0.3787  9 Ni 2.44-2.47, 3 Cu 2.50
Cu  0.6667  0.3333  0.1280  9 Cu 2.47-2.53, 3 Ni 2.50
Cu  0.3333  0.6667  0.8720  9 Cu 2.47-2.53, 3 Ni 2.50

space group: P-3m1
energy: -0.383 Ry per atom

The following is a GGA-PBEsol calculation of a relaxed Tl2AgCl crystal, from Alexandria.

Lattice parameters (Å, degrees): 5.1787 5.1787 5.1787 60.00 60.00 60.00
Last column: nearest neighbours and their distance in Å.
Fractional positions:
Tl  0.0000  0.0000  0.0000  4 Tl 3.17, 4 Cl 3.17
Tl  0.7500  0.7500  0.7500  4 Ag 3.17, 4 Tl 3.17
Ag  0.5000  0.5000  0.5000  4 Tl 3.17, 4 Cl 3.17
Cl  0.2500  0.2500  0.2500  4 Tl 3.17, 4 Ag 3.17

ΔE to the lowest computed polymorph: 189 meV per atom
space group: F-43m
energy: -0.196 Ry per atom
formation energy (no corrections): -0.11 eV/f.u.

The following is a GGA-PBEsol calculation of a relaxed ScGa2OsSe crystal, from Alexandria.

Lattice parameters (Å, degrees): 4.5954 4.5954 5.2481 90.00 90.00 90.00
Last column: nearest neighbours and their distance in Å.
Fractional positions:
Sc  0.5000  0.5000  0.5000  4 Se 3.25, 8 Ga 3.49
Os  0.0000  0.0000  0.0000  4 Ga 2.30
Ga  0.0000  0.5000  0.0000  2 Os 2.30
Ga  0.5000  0.0000  0.0000  2 Os 2.30
Se  0.0000  0.0000  0.5000  2 Os 2.62

space group: P4/mmm
energy: -0.411 Ry per atom
formation energy (no corrections): 1.41 eV/f.u.

The following is a GGA-PBEsol calculation of a relaxed CaMg2S3O12 crystal, from Alexandria.

Lattice parameters (Å, degrees): 7.3483 8.3982 8.3982 120.00 90.00 90.00
Last column: nearest neighbours and their distance in Å.
Fractional positions:
Ca  0.5000  0.0000  0.0000  6 O 2.39
Ca  0.0000  0.0000  0.0000  6 O 2.39
Mg  0.5478  0.6667  0.3333  6 O 2.01-2.13
Mg  0.4522  0.3333  0.6667  6 O 2.01-2.13
Mg  0.0478  0.3333  0.6667  6 O 2.01-2.13
Mg  0.9522  0.6667  0.3333  6 O 2.01-2.13
S  0.7500  0.3299  0.9671  4 O 1.47-1.49
S  0.2500  0.3628  0.3299  4 O 1.47-1.49
S  0.7500  0.0329  0.3628  4 O 1.47-1.49
S  0.2500  0.9671  0.6372  4 O 1.47-1.49
S  0.2500  0.6701  0.0329  4 O 1.47-1.49
S  0.7500  0.6372  0.6701  4 O 1.47-1.49
O  0.7500  0.5203  0.1290  1 S 1.49
O  0.2500  0.0367  0.8386  1 S 1.49
O  0.4159  0.8580  0.5585  1 S 1.47
O  0.7500  0.8386  0.8019  1 S 1.49
O  0.7500  0.8710  0.3913  1 S 1.49
O  0.7500  0.6087  0.4797  1 S 1.49
O  0.4159  0.7005  0.1420  1 S 1.47
O  0.9159  0.2995  0.8580  1 S 1.47
O  0.9159  0.5585  0.7005  1 S 1.47
O  0.2500  0.4797  0.8710  1 S 1.49
O  0.2500  0.8019  0.9633  1 S 1.49
O  0.7500  0.1981  0.0367  1 S 1.49
O  0.2500  0.1614  0.1981  1 S 1.49
O  0.5841  0.5585  0.7005  1 S 1.47
O  0.5841  0.2995  0.8580  1 S 1.47
O  0.2500  0.3913  0.5203  1 S 1.49
O  0.4159  0.4415  0.2995  1 S 1.47
O  0.0841  0.8580  0.5585  1 S 1.47
O  0.2500  0.1290  0.6087  1 S 1.49
O  0.0841  0.7005  0.1420  1 S 1.47
O  0.0841  0.4415  0.2995  1 S 1.47
O  0.7500  0.9633  0.1614  1 S 1.49
O  0.9159  0.1420  0.4415  1 S 1.47
O  0.5841  0.1420  0.4415  1 S 1.47

space group: P6_3/m
energy: -0.486 Ry per atom
formation energy (no corrections): -37.41 eV/f.u.